# CePu2Ag, optimized geometry, DFT PBE-GGA
# D(E_F): 3.482 states/eV/atom
# Total magnetization: 3.33 μB per atom
# Energy of formation: 0.3 eV/f.u.
data_CePu2Ag
_chemical_formula_sum 'Ce4 Pu8 Ag4'
_symmetry_space_group_name_H-M 'F m -3 m'
_symmetry_Int_Tables_number 225
_symmetry_space_group_name_Hall '-F 4 2 3'
_cell_length_a 7.289
_cell_length_b 7.289
_cell_length_c 7.289
_cell_angle_alpha 90.00
_cell_angle_beta 90.00
_cell_angle_gamma 90.00
loop_
_atom_site_label
_atom_site_type_symbol
_atom_site_fract_x
_atom_site_fract_y
_atom_site_fract_z
Ce1 Ce 0.000 0.000 0.000
Pu1 Pu 0.250 0.250 0.250
Ag1 Ag 0.000 0.000 0.500

---

# Ce4PuAg, optimized geometry, DFT PBE-GGA
# D(E_F): 2.119 states/eV/atom
# Total magnetization: 0.32 μB per atom
# Energy of formation: 0.1 eV/f.u.
data_Ce4PuAg
_chemical_formula_sum 'Ce8 Pu2 Ag2'
_symmetry_space_group_name_H-M 'I -4'
_symmetry_Int_Tables_number 82
_symmetry_space_group_name_Hall 'I -4'
_cell_length_a 9.666
_cell_length_b 9.666
_cell_length_c 3.423
_cell_angle_alpha 90.00
_cell_angle_beta 90.00
_cell_angle_gamma 90.00
loop_
_atom_site_label
_atom_site_type_symbol
_atom_site_fract_x
_atom_site_fract_y
_atom_site_fract_z
Ce1 Ce 0.075 0.276 0.034
Pu1 Pu 0.000 0.500 0.750
Ag1 Ag 0.000 0.000 0.500

---

# Ce2PuAg, optimized geometry, DFT PBE-GGA
# D(E_F): 2.038 states/eV/atom
# Total magnetization: 0.48 μB per atom
# Energy of formation: 1.1 eV/f.u.
data_Ce2PuAg
_chemical_formula_sum 'Ce6 Pu3 Ag3'
_symmetry_space_group_name_H-M 'R 3 m'
_symmetry_Int_Tables_number 160
_symmetry_space_group_name_Hall 'R 3 -2"'
_cell_length_a 3.6850
_cell_length_b 3.6850
_cell_length_c 23.5353
_cell_angle_alpha 90.00
_cell_angle_beta 90.00
_cell_angle_gamma 120.00
loop_
_atom_site_label
_atom_site_type_symbol
_atom_site_fract_x
_atom_site_fract_y
_atom_site_fract_z
Ce1 Ce 0.0000 0.0000 0.0000
Ce2 Ce 0.0000 0.0000 0.2007
Pu1 Pu 0.0000 0.0000 0.6059
Ag1 Ag 0.0000 0.0000 0.7679

---

# CePuAgRh, optimized geometry, DFT PBE-GGA
# D(E_F): 2.931 states/eV/atom
# Total magnetization: 1.62 μB per atom
# Energy of formation: -1.0 eV/f.u.
data_CePuAgRh
_chemical_formula_sum 'Ce4 Pu4 Ag4 Rh4'
_symmetry_space_group_name_H-M 'F -4 3 m'
_symmetry_Int_Tables_number 216
_symmetry_space_group_name_Hall 'F -4 2 3'
_cell_length_a 7.127
_cell_length_b 7.127
_cell_length_c 7.127
_cell_angle_alpha 90.00
_cell_angle_beta 90.00
_cell_angle_gamma 90.00
loop_
_atom_site_label
_atom_site_type_symbol
_atom_site_fract_x
_atom_site_fract_y
_atom_site_fract_z
Ce1 Ce 0.000 0.000 0.000
Pu1 Pu 0.000 0.000 0.500
Ag1 Ag 0.250 0.250 0.250
Rh1 Rh 0.250 0.250 0.750

---

# CePuAgRh, optimized geometry, DFT PBE-GGA
# D(E_F): 1.633 states/eV/atom
# Total magnetization: 1.37 μB per atom
# Energy of formation: -1.3 eV/f.u.
data_CePuAgRh
_chemical_formula_sum 'Ce4 Pu4 Ag4 Rh4'
_symmetry_space_group_name_H-M 'F -4 3 m'
_symmetry_Int_Tables_number 216
_symmetry_space_group_name_Hall 'F -4 2 3'
_cell_length_a 6.821
_cell_length_b 6.821
_cell_length_c 6.821
_cell_angle_alpha 90.00
_cell_angle_beta 90.00
_cell_angle_gamma 90.00
loop_
_atom_site_label
_atom_site_type_symbol
_atom_site_fract_x
_atom_site_fract_y
_atom_site_fract_z
Ce1 Ce 0.000 0.000 0.000
Pu1 Pu 0.250 0.250 0.750
Ag1 Ag 0.000 0.000 0.500
Rh1 Rh 0.250 0.250 0.250

---

# CePuAgRu, optimized geometry, DFT PBE-GGA
# D(E_F): 2.807 states/eV/atom
# Total magnetization: 1.55 μB per atom
# Energy of formation: -0.2 eV/f.u.
data_CePuAgRu
_chemical_formula_sum 'Ce4 Pu4 Ag4 Ru4'
_symmetry_space_group_name_H-M 'F -4 3 m'
_symmetry_Int_Tables_number 216
_symmetry_space_group_name_Hall 'F -4 2 3'
_cell_length_a 7.078
_cell_length_b 7.078
_cell_length_c 7.078
_cell_angle_alpha 90.00
_cell_angle_beta 90.00
_cell_angle_gamma 90.00
loop_
_atom_site_label
_atom_site_type_symbol
_atom_site_fract_x
_atom_site_fract_y
_atom_site_fract_z
Ce1 Ce 0.000 0.000 0.000
Pu1 Pu 0.000 0.000 0.500
Ag1 Ag 0.250 0.250 0.750
Ru1 Ru 0.250 0.250 0.250

---

# CePuScAg, optimized geometry, DFT PBE-GGA
# D(E_F): 3.161 states/eV/atom
# Total magnetization: 2.11 μB per atom
# Energy of formation: 0.2 eV/f.u.
data_CePuScAg
_chemical_formula_sum 'Ce4 Pu4 Sc4 Ag4'
_symmetry_space_group_name_H-M 'F -4 3 m'
_symmetry_Int_Tables_number 216
_symmetry_space_group_name_Hall 'F -4 2 3'
_cell_length_a 7.246
_cell_length_b 7.246
_cell_length_c 7.246
_cell_angle_alpha 90.00
_cell_angle_beta 90.00
_cell_angle_gamma 90.00
loop_
_atom_site_label
_atom_site_type_symbol
_atom_site_fract_x
_atom_site_fract_y
_atom_site_fract_z
Ce1 Ce 0.000 0.000 0.000
Pu1 Pu 0.250 0.250 0.250
Sc1 Sc 0.000 0.000 0.500
Ag1 Ag 0.250 0.250 0.750

---

# CePuSiAg, optimized geometry, DFT PBE-GGA
# D(E_F): 2.922 states/eV/atom
# Total magnetization: 1.77 μB per atom
# Formation energy without anion corrections: -0.202 eV/atom
data_CePuSiAg
_chemical_formula_sum 'Ce4 Pu4 Si4 Ag4'
_symmetry_space_group_name_H-M 'F -4 3 m'
_symmetry_Int_Tables_number 216
_symmetry_space_group_name_Hall 'F -4 2 3'
_cell_length_a 7.241
_cell_length_b 7.241
_cell_length_c 7.241
_cell_angle_alpha 90.00
_cell_angle_beta 90.00
_cell_angle_gamma 90.00
loop_
_atom_site_label
_atom_site_type_symbol
_atom_site_fract_x
_atom_site_fract_y
_atom_site_fract_z
Ce1 Ce 0.000 0.000 0.000
Pu1 Pu 0.000 0.000 0.500
Si1 Si 0.250 0.250 0.750
Ag1 Ag 0.250 0.250 0.250

---

# CeSmPuAg, optimized geometry, DFT PBE-GGA
# D(E_F): 3.469 states/eV/atom
# Total magnetization: 2.06 μB per atom
# Energy of formation: 0.4 eV/f.u.
data_CeSmPuAg
_chemical_formula_sum 'Ce4 Sm4 Pu4 Ag4'
_symmetry_space_group_name_H-M 'F -4 3 m'
_symmetry_Int_Tables_number 216
_symmetry_space_group_name_Hall 'F -4 2 3'
_cell_length_a 7.487
_cell_length_b 7.487
_cell_length_c 7.487
_cell_angle_alpha 90.00
_cell_angle_beta 90.00
_cell_angle_gamma 90.00
loop_
_atom_site_label
_atom_site_type_symbol
_atom_site_fract_x
_atom_site_fract_y
_atom_site_fract_z
Ce1 Ce 0.000 0.000 0.000
Sm1 Sm 0.000 0.000 0.500
Pu1 Pu 0.250 0.250 0.750
Ag1 Ag 0.250 0.250 0.250

---

# CePu2Ag2Sn2, optimized geometry, DFT PBE-GGA
# D(E_F): 2.853 states/eV/atom
# Total magnetization: 1.75 μB per atom
# Energy of formation: -1.7 eV/f.u.
data_CePu2Ag2Sn2
_chemical_formula_sum 'Ce3 Pu6 Ag6 Sn6'
_symmetry_space_group_name_H-M 'R -3 m'
_symmetry_Int_Tables_number 166
_symmetry_space_group_name_Hall '-R 3 2"'
_cell_length_a 4.8529
_cell_length_b 4.8529
_cell_length_c 25.8384
_cell_angle_alpha 90.00
_cell_angle_beta 90.00
_cell_angle_gamma 120.00
loop_
_atom_site_label
_atom_site_type_symbol
_atom_site_fract_x
_atom_site_fract_y
_atom_site_fract_z
Ce1 Ce 0.0000 0.0000 0.0000
Pu1 Pu 0.0000 0.0000 0.1416
Ag1 Ag 0.0000 0.0000 0.4280
Sn1 Sn 0.0000 0.0000 0.2663

---

# CePuAgSn, optimized geometry, DFT PBE-GGA
# D(E_F): 2.501 states/eV/atom
# Total magnetization: 1.80 μB per atom
# Energy of formation: -1.2 eV/f.u.
data_CePuAgSn
_chemical_formula_sum 'Ce1 Pu1 Ag1 Sn1'
_symmetry_space_group_name_H-M 'P m m m'
_symmetry_Int_Tables_number 47
_symmetry_space_group_name_Hall '-P 2 2'
_cell_length_a 4.499
_cell_length_b 4.588
_cell_length_c 4.777
_cell_angle_alpha 90.00
_cell_angle_beta 90.00
_cell_angle_gamma 90.00
loop_
_atom_site_label
_atom_site_type_symbol
_atom_site_fract_x
_atom_site_fract_y
_atom_site_fract_z
Ce1 Ce 0.000 0.000 0.000
Pu1 Pu 0.500 0.500 0.000
Ag1 Ag 0.500 0.000 0.500
Sn1 Sn 0.000 0.500 0.500

---

# CePuAgSn, optimized geometry, DFT PBE-GGA
# D(E_F): 3.280 states/eV/atom
# Total magnetization: 1.80 μB per atom
# Energy of formation: -1.0 eV/f.u.
data_CePuAgSn
_chemical_formula_sum 'Ce4 Pu4 Ag4 Sn4'
_symmetry_space_group_name_H-M 'F -4 3 m'
_symmetry_Int_Tables_number 216
_symmetry_space_group_name_Hall 'F -4 2 3'
_cell_length_a 7.542
_cell_length_b 7.542
_cell_length_c 7.542
_cell_angle_alpha 90.00
_cell_angle_beta 90.00
_cell_angle_gamma 90.00
loop_
_atom_site_label
_atom_site_type_symbol
_atom_site_fract_x
_atom_site_fract_y
_atom_site_fract_z
Ce1 Ce 0.000 0.000 0.000
Pu1 Pu 0.000 0.000 0.500
Ag1 Ag 0.250 0.250 0.250
Sn1 Sn 0.250 0.250 0.750

---

> Number 4 is which compound?

CePuAgRh

---

Copy entry 8 word for word.
# CePuSiAg, optimized geometry, DFT PBE-GGA
# D(E_F): 2.922 states/eV/atom
# Total magnetization: 1.77 μB per atom
# Formation energy without anion corrections: -0.202 eV/atom
data_CePuSiAg
_chemical_formula_sum 'Ce4 Pu4 Si4 Ag4'
_symmetry_space_group_name_H-M 'F -4 3 m'
_symmetry_Int_Tables_number 216
_symmetry_space_group_name_Hall 'F -4 2 3'
_cell_length_a 7.241
_cell_length_b 7.241
_cell_length_c 7.241
_cell_angle_alpha 90.00
_cell_angle_beta 90.00
_cell_angle_gamma 90.00
loop_
_atom_site_label
_atom_site_type_symbol
_atom_site_fract_x
_atom_site_fract_y
_atom_site_fract_z
Ce1 Ce 0.000 0.000 0.000
Pu1 Pu 0.000 0.000 0.500
Si1 Si 0.250 0.250 0.750
Ag1 Ag 0.250 0.250 0.250

---

> Look up the D(E_F) of the third one.

2.038 states/eV/atom

---

> Which value of total magnetization does entry 2 give?

0.32 μB per atom